one | Computed, not measured: a relaxed structure of BeTlPb2 at the PBE level of DFT.

Computed properties:
total magnetic moment = 0.000 μB/f.u.
DOS(E_F) = 1.9 states/eV/cell

abc: 6.426 6.426 6.426
angles: 149.02 128.16 61.63
Atoms (fractional coordinates):
Tl (0.750, 0.250, 0.500)
Be (0.250, 0.750, 0.500)
Pb (0.444, 0.444, 0.000)
Pb (0.056, 0.056, 0.000)

---

two | Computed, not measured: a relaxed structure of BeTlPb2 at the PBE level of DFT.

Computed properties:
total magnetic moment = 0.000 μB/f.u.
DOS(E_F) = 1.9 states/eV/cell

abc: 5.347 5.347 5.347
angles: 60.00 60.00 60.00
Atoms (fractional coordinates):
Be (0.500, 0.500, 0.500)
Pb (0.000, 0.000, 0.000)
Pb (0.750, 0.750, 0.750)
Tl (0.250, 0.250, 0.250)

---

Stability summary: most stable one, least stable two.

---

one | Computed, not measured: a relaxed structure of BeTlPb2 at the PBE level of DFT.

Computed properties:
total magnetic moment = 0.000 μB/f.u.
DOS(E_F) = 1.5 states/eV/cell

abc: 5.763 5.763 5.763
angles: 131.02 131.02 71.78
Atoms (fractional coordinates):
Pb (0.000, 0.000, 0.000)
Pb (0.500, 0.500, 0.000)
Be (0.750, 0.250, 0.500)
Tl (0.250, 0.750, 0.500)

---

two | Computed, not measured: a relaxed structure of BeTlPb2 at the PBE level of DFT.

Computed properties:
total magnetic moment = 0.000 μB/f.u.
DOS(E_F) = 0.8 states/eV/cell

abc: 3.473 3.473 8.727
angles: 90.00 90.00 102.89
Atoms (fractional coordinates):
Tl (0.000, 0.000, 0.555)
Pb (0.000, 0.000, 0.941)
Pb (0.500, 0.500, 0.257)
Be (0.500, 0.500, 0.747)

---

three | Computed, not measured: a relaxed structure of BeTlPb2 at the PBE level of DFT.

Computed properties:
total magnetic moment = 0.000 μB/f.u.
DOS(E_F) = 2.1 states/eV/cell

abc: 3.448 3.451 8.798
angles: 90.00 90.00 90.00
Atoms (fractional coordinates):
Tl (0.500, 0.500, 0.250)
Be (0.500, 0.500, 0.750)
Pb (0.000, 0.000, 0.940)
Pb (0.000, 0.000, 0.560)

---

four | Computed, not measured: a relaxed structure of BeTlPb2 at the PBE level of DFT.

Computed properties:
total magnetic moment = 0.000 μB/f.u.
DOS(E_F) = 2.9 states/eV/cell

abc: 5.329 5.329 5.329
angles: 60.00 60.00 60.00
Atoms (fractional coordinates):
Pb (0.750, 0.750, 0.750)
Pb (0.250, 0.250, 0.250)
Tl (0.500, 0.500, 0.500)
Be (0.000, 0.000, 0.000)

---

Stability summary: most stable three, least stable four.

---

one | Computed, not measured: a relaxed structure of BeTlPb2 at the PBE level of DFT.

Computed properties:
total magnetic moment = 0.000 μB/f.u.
DOS(E_F) = 1.9 states/eV/cell

abc: 6.057 6.057 6.057
angles: 135.62 135.62 64.57
Atoms (fractional coordinates):
Pb (0.000, 0.000, 0.000)
Pb (0.250, 0.750, 0.500)
Be (0.750, 0.250, 0.500)
Tl (0.500, 0.500, 0.000)

---

two | Computed, not measured: a relaxed structure of BeTlPb2 at the PBE level of DFT.

Computed properties:
total magnetic moment = 0.000 μB/f.u.
DOS(E_F) = 1.1 states/eV/cell

abc: 5.506 5.506 3.541
angles: 90.00 90.00 97.20
Atoms (fractional coordinates):
Tl (0.500, 0.000, 0.500)
Pb (0.000, 0.000, 0.000)
Pb (0.500, 0.500, 0.000)
Be (0.000, 0.500, 0.500)

---

three | Computed, not measured: a relaxed structure of BeTlPb2 at the PBE level of DFT.

Computed properties:
total magnetic moment = 0.000 μB/f.u.
DOS(E_F) = 2.5 states/eV/cell

abc: 8.908 8.908 8.908
angles: 24.19 24.19 24.19
Atoms (fractional coordinates):
Pb (0.249, 0.249, 0.249)
Pb (0.021, 0.021, 0.021)
Be (0.751, 0.751, 0.751)
Tl (0.479, 0.479, 0.479)

---

four | Computed, not measured: a relaxed structure of BeTlPb2 at the PBE level of DFT.

Computed properties:
total magnetic moment = 0.000 μB/f.u.
DOS(E_F) = 2.6 states/eV/cell

abc: 3.446 3.446 8.645
angles: 90.00 90.00 90.00
Atoms (fractional coordinates):
Tl (0.000, 0.000, 0.552)
Be (0.500, 0.500, 0.749)
Pb (0.000, 0.000, 0.945)
Pb (0.500, 0.500, 0.253)

---

Stability summary: most stable three, least stable one.

---

one | Computed, not measured: a relaxed structure of BeTlPb2 at the PBE level of DFT.

Computed properties:
total magnetic moment = 0.000 μB/f.u.
DOS(E_F) = 5.0 states/eV/cell

abc: 5.648 5.648 8.783
angles: 71.24 71.24 90.00
Atoms (fractional coordinates):
Tl (0.750, 0.250, 0.500)
Tl (0.000, 0.000, 0.000)
Pb (0.875, 0.772, 0.750)
Pb (0.228, 0.625, 0.250)
Pb (0.375, 0.478, 0.750)
Pb (0.522, 0.125, 0.250)
Be (0.250, 0.750, 0.500)
Be (0.500, 0.500, 0.000)

---

two | Computed, not measured: a relaxed structure of BeTlPb2 at the PBE level of DFT.

Computed properties:
total magnetic moment = 0.000 μB/f.u.
DOS(E_F) = 1.4 states/eV/cell

abc: 3.487 3.487 8.982
angles: 90.00 90.00 104.30
Atoms (fractional coordinates):
Pb (0.000, 0.000, 0.561)
Pb (0.000, 0.000, 0.939)
Tl (0.500, 0.500, 0.250)
Be (0.500, 0.500, 0.750)

---

Stability summary: most stable two, least stable one.